NbSiHg3, relaxed, DFT GGA-PBE; energy above the most stable polymorph in this dataset = 16.1 kJ per mole of atoms; formation energy without anion corrections = 116 kJ per mole of atoms; space group = Pm-3m
1.0
5.361 0.000 0.000
0.000 5.361 0.000
0.000 0.000 5.361
Hg Si Nb
3 1 1
Direct
0.000 0.500 0.000
0.500 0.000 0.000
0.000 0.000 0.500
0.500 0.500 0.500
0.000 0.000 0.000


LiDyErRe, relaxed, DFT GGA-PBE; formation enthalpy at 0 K = 51 meV/atom; space group = F-43m
1.0
-3.896 -0.224 2.967
-4.336 -1.465 -1.755
-1.833 -4.352 1.315
Re Er Dy Li
1 1 1 1
Direct
0.750 0.750 0.750
0.000 0.000 0.000
0.500 0.500 0.500
0.250 0.250 0.250


Ge2Te2Br, relaxed, DFT GGA-PBE; energy above the most stable polymorph in this dataset = 14.5 kJ per mole of atoms; formation energy without anion corrections = -1 kJ per mole of atoms; space group = P4/mbm
1.0
8.496 0.000 0.000
0.000 8.496 0.000
0.000 0.000 4.052
Te Ge Br
4 4 2
Direct
0.131 0.631 0.500
0.631 0.869 0.500
0.869 0.369 0.500
0.369 0.131 0.500
0.281 0.781 0.000
0.219 0.281 0.000
0.719 0.219 0.000
0.781 0.719 0.000
0.000 0.000 0.000
0.500 0.500 0.000


Size of the total moment? In order: 0.00 0.00 0.00 μB/atom.
V? In order: 154.08 83.29 292.43 Å³ per cell.
N(E_F)? In order: 4.33 3.32 2.48 states/eV/cell.